1.
Density functional theory data (PBE) for a geometry-optimized Cr4CdCo structure.

It has space group F-43m (No. 216), with a = 6.7718 Å, b = 6.7718 Å, c = 6.7718 Å, α = 90.00°, β = 90.00° and γ = 90.00°. The inequivalent atoms are Cr at (0.1243, 0.1243, 0.3757), Cd at (0.2500, 0.2500, 0.7500) and Co at (0.0000, 0.0000, 0.0000).

Its formation energy from the elements is 0.43 eV/atom.

2.
Density functional theory data (PBE) for a geometry-optimized CrCdCo3 structure.

It has space group Pm-3m (No. 221), with a = 4.2188 Å, b = 4.2188 Å, c = 4.2188 Å, α = 90.00°, β = 90.00° and γ = 90.00°. The inequivalent atoms are Cr at (0.0000, 0.0000, 0.0000), Cd at (0.5000, 0.5000, 0.5000) and Co at (0.0000, 0.0000, 0.5000).

Its formation energy from the elements is 0.99 eV/atom. The calculation puts the offset from the most stable computed form at 0 meV/atom.

3.
Density functional theory data (PBE) for a geometry-optimized Cr2CdCo structure.

It has space group P4/mmm (No. 123), with a = 4.2891 Å, b = 4.2891 Å, c = 3.2207 Å, α = 90.00°, β = 90.00° and γ = 90.00°. The inequivalent atoms are Cr at (0.0000, 0.5000, 0.0000), Cd at (0.0000, 0.0000, 0.5000) and Co at (0.5000, 0.5000, 0.5000).

Its formation energy from the elements is 0.63 eV/atom.

4.
Density functional theory data (PBE) for a geometry-optimized Cr2CdCo structure.

It has space group I-4m2 (No. 119), with a = 3.9692 Å, b = 3.9692 Å, c = 7.3337 Å, α = 90.00°, β = 90.00° and γ = 90.00°. The inequivalent atoms are Cr at (0.0000, 0.0000, 0.0000), Cr at (0.0000, 0.5000, 0.2500), Cd at (0.0000, 0.5000, 0.7500) and Co at (0.0000, 0.0000, 0.5000).

Its formation energy from the elements is 0.46 eV/atom.